Here is a relaxed TbDy2YAs4 crystal from Alexandria via LeMat-Bulk. Energies are from GGA-PBE.

Output
* ΔE_f: -1.54 eV/atom
* M_tot: 0.00 μB per formula unit
* total energy: -6.406 eV/atom

Cell: 4.1262 7.1439 7.1436 Å, 70.54 90.00 90.00°
Closest atoms and distances in Å follow each position.
Atoms (fractional coordinates):
Dy  0.0000  0.0000  0.0000  6 As 2.91
Dy  0.5000  0.0000  0.5000  6 As 2.91
As  0.5000  0.7509  0.2500  3 Dy 2.91, 2 Y 2.92, 1 Tb 2.92
As  0.0000  0.7510  0.7494  3 Dy 2.91, 1 Y 2.92, 2 Tb 2.92
As  0.5000  0.2491  0.7500  3 Dy 2.91, 2 Y 2.92, 1 Tb 2.92
Y  0.0000  0.5000  0.5000  6 As 2.92
Tb  0.5000  0.5000  0.0000  6 As 2.92
As  0.0000  0.2490  0.2506  3 Dy 2.91, 1 Y 2.92, 2 Tb 2.92